No. 1
This record from the Alexandria database describes crystalline SrAcPmMg at its relaxed geometry. The functional is PBE.

Values from the calculation:
formation energy from the elements = 0.156 eV per atom
electronic total energy = -2.878 eV per atom

```
data_SrAcPmMg
_chemical_formula_sum 'Sr4 Ac4 Pm4 Mg4'
_cell_length_a 8.476
_cell_length_b 8.476
_cell_length_c 8.476
_cell_angle_alpha 90.00
_cell_angle_beta 90.00
_cell_angle_gamma 90.00
_symmetry_space_group_name_H-M 'F -4 3 m'
_symmetry_Int_Tables_number 216
_symmetry_space_group_name_Hall 'F -4 2 3'
loop_
_atom_site_label
_atom_site_fract_x
_atom_site_fract_y
_atom_site_fract_z
Sr1 0.000 0.000 0.000
Ac1 0.250 0.250 0.750
Pm1 0.000 0.000 0.500
Mg1 0.250 0.250 0.250
```

No. 2
This record from the Alexandria database describes crystalline AcTbPmMg at its relaxed geometry. The functional is PBE.

Values from the calculation:
energy above the lowest structure with this stoichiometry = 0.555 eV/f.u.
formation energy from the elements = 0.118 eV per atom
electronic total energy = -3.653 eV per atom

```
data_AcTbPmMg
_chemical_formula_sum 'Ac4 Tb4 Pm4 Mg4'
_cell_length_a 8.125
_cell_length_b 8.125
_cell_length_c 8.125
_cell_angle_alpha 90.00
_cell_angle_beta 90.00
_cell_angle_gamma 90.00
_symmetry_space_group_name_H-M 'F -4 3 m'
_symmetry_Int_Tables_number 216
_symmetry_space_group_name_Hall 'F -4 2 3'
loop_
_atom_site_label
_atom_site_fract_x
_atom_site_fract_y
_atom_site_fract_z
Ac1 0.000 0.000 0.000
Tb1 0.250 0.250 0.750
Pm1 0.250 0.250 0.250
Mg1 0.000 0.000 0.500
```

No. 3
This record from the Alexandria database describes crystalline AcTbPmMg at its relaxed geometry. The functional is PBE.

Values from the calculation:
energy above the lowest structure with this stoichiometry = 0.000 eV/f.u.
formation energy from the elements = -0.021 eV per atom
electronic total energy = -3.792 eV per atom

```
data_AcTbPmMg
_chemical_formula_sum 'Ac1 Tb1 Pm1 Mg1'
_cell_length_a 3.837
_cell_length_b 3.837
_cell_length_c 9.046
_cell_angle_alpha 90.00
_cell_angle_beta 90.00
_cell_angle_gamma 90.00
_symmetry_space_group_name_H-M 'P 4 m m'
_symmetry_Int_Tables_number 99
loop_
_symmetry_equiv_pos_as_xyz
'x,y,z'
'-y,x,z'
'-x,-y,z'
'y,-x,z'
'-x,y,z'
'y,x,z'
'x,-y,z'
'-y,-x,z'
loop_
_atom_site_label
_atom_site_fract_x
_atom_site_fract_y
_atom_site_fract_z
Ac1 0.000 0.000 0.000
Tb1 0.500 0.500 0.285
Pm1 0.500 0.500 0.707
Mg1 0.000 0.000 0.491
```

No. 4
This record from the Alexandria database describes crystalline Ac3Pm3MgTe8 at its relaxed geometry. The functional is PBE.

Values from the calculation:
electronic total energy = -4.940 eV per atom
formation energy (no corrections) = -1.39 eV per atom

```
data_Ac3Pm3MgTe8
_chemical_formula_sum 'Ac9 Pm9 Mg3 Te24'
_cell_length_a 9.0879
_cell_length_b 9.0879
_cell_length_c 22.7400
_cell_angle_alpha 90.00
_cell_angle_beta 90.00
_cell_angle_gamma 120.00
_symmetry_space_group_name_H-M 'R -3 m'
_symmetry_Int_Tables_number 166
_symmetry_space_group_name_Hall '-R 3 2"'
loop_
_atom_site_label
_atom_site_fract_x
_atom_site_fract_y
_atom_site_fract_z
Ac1 0.0000 0.5000 0.0000
Pm1 0.0000 0.5000 0.5000
Mg1 0.0000 0.0000 0.5000
Te1 0.0000 0.0000 0.2444
Te2 0.0087 0.5043 0.2426
```

No. 5
This record from the Alexandria database describes crystalline AcPmThMg at its relaxed geometry. The functional is PBE.

Values from the calculation:
formation energy from the elements = 0.187 eV per atom
electronic total energy = -4.281 eV per atom

```
data_AcPmThMg
_chemical_formula_sum 'Ac4 Pm4 Th4 Mg4'
_cell_length_a 8.161
_cell_length_b 8.161
_cell_length_c 8.161
_cell_angle_alpha 90.00
_cell_angle_beta 90.00
_cell_angle_gamma 90.00
_symmetry_space_group_name_H-M 'F -4 3 m'
_symmetry_Int_Tables_number 216
_symmetry_space_group_name_Hall 'F -4 2 3'
loop_
_atom_site_label
_atom_site_fract_x
_atom_site_fract_y
_atom_site_fract_z
Ac1 0.000 0.000 0.000
Pm1 0.000 0.000 0.500
Th1 0.250 0.250 0.250
Mg1 0.250 0.250 0.750
```

No. 6
This record from the Alexandria database describes crystalline AcPmMgTl at its relaxed geometry. The functional is PBE.

Values from the calculation:
formation energy from the elements = -0.217 eV per atom
electronic total energy = -3.421 eV per atom

```
data_AcPmMgTl
_chemical_formula_sum 'Ac4 Pm4 Mg4 Tl4'
_cell_length_a 8.009
_cell_length_b 8.009
_cell_length_c 8.009
_cell_angle_alpha 90.00
_cell_angle_beta 90.00
_cell_angle_gamma 90.00
_symmetry_space_group_name_H-M 'F -4 3 m'
_symmetry_Int_Tables_number 216
_symmetry_space_group_name_Hall 'F -4 2 3'
loop_
_atom_site_label
_atom_site_fract_x
_atom_site_fract_y
_atom_site_fract_z
Ac1 0.000 0.000 0.000
Pm1 0.000 0.000 0.500
Mg1 0.250 0.250 0.750
Tl1 0.250 0.250 0.250
```

No. 7
This record from the Alexandria database describes crystalline Ac2PmMg3Tl6 at its relaxed geometry. The functional is PBE.

Values from the calculation:
formation energy from the elements = -0.009 eV per atom
electronic total energy = -2.671 eV per atom

```
data_Ac2PmMg3Tl6
_chemical_formula_sum 'Ac2 Pm1 Mg3 Tl6'
_cell_length_a 4.632
_cell_length_b 4.632
_cell_length_c 19.671
_cell_angle_alpha 90.00
_cell_angle_beta 90.00
_cell_angle_gamma 90.00
_symmetry_space_group_name_H-M 'P 4/m m m'
_symmetry_Int_Tables_number 123
_symmetry_space_group_name_Hall '-P 4 2'
loop_
_atom_site_label
_atom_site_fract_x
_atom_site_fract_y
_atom_site_fract_z
Ac1 0.000 0.000 0.222
Pm1 0.000 0.000 0.500
Mg1 0.500 0.500 0.000
Mg2 0.500 0.500 0.287
Tl1 0.000 0.500 0.382
Tl2 0.500 0.500 0.140
```

No. 8
This record from the Alexandria database describes crystalline AcPm2MgTl4 at its relaxed geometry. The functional is PBE.

Values from the calculation:
formation energy from the elements = -0.304 eV per atom
electronic total energy = -3.388 eV per atom

```
data_AcPm2MgTl4
_chemical_formula_sum 'Ac3 Pm6 Mg3 Tl12'
_cell_length_a 5.2998
_cell_length_b 5.2998
_cell_length_c 29.9342
_cell_angle_alpha 90.00
_cell_angle_beta 90.00
_cell_angle_gamma 120.00
_symmetry_space_group_name_H-M 'R -3 m'
_symmetry_Int_Tables_number 166
_symmetry_space_group_name_Hall '-R 3 2"'
loop_
_atom_site_label
_atom_site_fract_x
_atom_site_fract_y
_atom_site_fract_z
Ac1 0.0000 0.0000 0.0000
Pm1 0.0000 0.0000 0.2340
Mg1 0.0000 0.0000 0.5000
Tl1 0.0000 0.0000 0.1256
Tl2 0.0000 0.0000 0.3876
```